Entry A
# ErPd4Pb, optimized geometry, DFT PBE-GGA
# **Density**: 11.79 g cm⁻³
data_ErPd4Pb
_chemical_formula_sum 'Er4 Pd16 Pb4'
_space_group_name_H-M_alt 'F -4 3 m'
_space_group_IT_number 216
_space_group_name_Hall 'F -4 2 3'
_cell_length_a 7.6676
_cell_length_b 7.6676
_cell_length_c 7.6676
_cell_angle_alpha 90.00
_cell_angle_beta 90.00
_cell_angle_gamma 90.00
loop_
_atom_site_label
_atom_site_type_symbol
_atom_site_fract_x
_atom_site_fract_y
_atom_site_fract_z
Er1 Er 0.0000 0.0000 0.0000
Pd1 Pd 0.1251 0.1251 0.6251
Pb1 Pb 0.2500 0.2500 0.2500

Entry B
# ErPd4Pb, optimized geometry, DFT PBE-GGA
# **Density**: 12.01 g cm⁻³
data_ErPd4Pb
_chemical_formula_sum 'Er2 Pd8 Pb2'
_space_group_name_H-M_alt 'C 1 2/m 1'
_space_group_IT_number 12
_space_group_name_Hall '-C 2y'
_cell_length_a 9.6244
_cell_length_b 3.8661
_cell_length_c 6.4342
_cell_angle_alpha 90.00
_cell_angle_beta 112.43
_cell_angle_gamma 90.00
loop_
_atom_site_label
_atom_site_type_symbol
_atom_site_fract_x
_atom_site_fract_y
_atom_site_fract_z
Er1 Er 0.0000 0.0000 0.0000
Pd1 Pd 0.1659 0.5000 0.8381
Pd2 Pd 0.1681 0.5000 0.3256
Pb1 Pb 0.0000 0.0000 0.5000

Which structure is most stable, and how do the rest compare? From most to least stable: entry B, entry A.